Density functional theory data (PBE with a Hubbard U) for a relaxed TcMo2F crystal.

Values from the calculation:
- space-group type = I-42d
- final energy (eV per atom) = -5.93
- energy relative to the lowest polymorph listed for this composition (meV per atom) = 0.0

Structure (POSCAR):
```
TcMo2F
1.0
-5.349 -0.875 -3.813
-0.141 -6.412 1.669
-4.694 -2.932 1.498
Mo Tc F
4 2 2
Cartesian
-4.382 -2.056 -1.692
-2.082 -4.875 0.832
-5.583 -5.114 0.367
-8.320 -8.393 -0.800
0.000 0.000 0.000
-6.394 -3.725 -1.693
-2.745 -3.643 -1.072
-3.789 -6.494 1.047
```